# RhWNF2

An optimized crystal structure of RhWNF2 (GGA+U, Alexandria).

Lattice parameters (Å, degrees): 4.197 4.197 4.031 90.00 90.00 90.00
Atoms (fractional coordinates):
N  0.000  0.000  0.500
Rh  0.500  0.500  0.500
W  0.000  0.000  0.000
F  0.000  0.500  0.000
F  0.500  0.000  0.000

**E**: -28.274 eV per cell
**Magnetization**: 3.21 Bohr magnetons per cell